# 1
Below is a relaxed Tm5InPt crystal, with properties calculated at the GGA-PBE level.

Structure (POSCAR):
```
Tm5InPt
1.0
5.4764 -3.3951 0.0000
5.4764 3.3951 0.0000
-3.6034 0.0000 10.6925
Tm In Pt
10 2 2
Direct
0.0174 0.9826 0.7500 Tm
0.0479 0.4025 0.6410 Tm
0.2148 0.5304 0.9535 Tm
0.4025 0.0479 0.1410 Tm
0.4696 0.7852 0.5465 Tm
0.5304 0.2148 0.4535 Tm
0.5975 0.9521 0.8590 Tm
0.7852 0.4696 0.0465 Tm
0.9521 0.5975 0.3590 Tm
0.9826 0.0174 0.2500 Tm
0.4663 0.5337 0.2500 In
0.5337 0.4663 0.7500 In
0.0000 0.0000 0.0000 Pt
0.0000 0.0000 0.5000 Pt
```

Properties
magnetization = 0.00 μB/f.u.
E_form = -0.35 eV/atom



# 2
Below is a relaxed TmIn2Pt crystal, with properties calculated at the GGA-PBE level.

Structure (POSCAR):
```
TmIn2Pt
1.0
15.8139 0.0000 0.0000
0.0000 8.0530 0.0000
0.0000 0.0000 5.5926
Tm In Pt
8 16 8
Direct
0.1075 0.2500 0.2470 Tm
0.1437 0.7500 0.4654 Tm
0.3563 0.2500 0.9654 Tm
0.3925 0.7500 0.7470 Tm
0.6075 0.2500 0.2530 Tm
0.6437 0.7500 0.0346 Tm
0.8563 0.2500 0.5346 Tm
0.8925 0.7500 0.7530 Tm
0.0325 0.0485 0.7394 In
0.0325 0.4515 0.7394 In
0.2164 0.5500 0.9804 In
0.2164 0.9500 0.9804 In
0.2836 0.0500 0.4804 In
0.2836 0.4500 0.4804 In
0.4675 0.5485 0.2394 In
0.4675 0.9515 0.2394 In
0.5325 0.0485 0.7606 In
0.5325 0.4515 0.7606 In
0.7164 0.5500 0.5196 In
0.7164 0.9500 0.5196 In
0.7836 0.0500 0.0196 In
0.7836 0.4500 0.0196 In
0.9675 0.5485 0.2606 In
0.9675 0.9515 0.2606 In
0.0709 0.7500 0.9681 Pt
0.1754 0.2500 0.7604 Pt
0.3246 0.7500 0.2604 Pt
0.4291 0.2500 0.4681 Pt
0.5709 0.7500 0.5319 Pt
0.6754 0.2500 0.7396 Pt
0.8246 0.7500 0.2396 Pt
0.9291 0.2500 0.0319 Pt
```

Properties
magnetization = 0.00 μB/f.u.
E_form = -0.69 eV/atom



# 3
Below is a relaxed TmInPt2 crystal, with properties calculated at the GGA-PBE level.

Structure (POSCAR):
```
TmInPt2
1.0
6.7486 0.0000 0.0000
0.0000 6.7486 0.0000
0.0000 0.0000 6.7486
Tm In Pt
4 4 8
Direct
0.0000 0.0000 0.0000 Tm
0.0000 0.5000 0.5000 Tm
0.5000 0.0000 0.5000 Tm
0.5000 0.5000 0.0000 Tm
0.0000 0.0000 0.5000 In
0.0000 0.5000 0.0000 In
0.5000 0.0000 0.0000 In
0.5000 0.5000 0.5000 In
0.2500 0.2500 0.2500 Pt
0.2500 0.2500 0.7500 Pt
0.2500 0.7500 0.2500 Pt
0.2500 0.7500 0.7500 Pt
0.7500 0.2500 0.2500 Pt
0.7500 0.2500 0.7500 Pt
0.7500 0.7500 0.2500 Pt
0.7500 0.7500 0.7500 Pt
```

Properties
magnetization = 0.00 μB/f.u.
E_form = -0.95 eV/atom



> E_form of number 3 (TmInPt2)?

-0.95 eV/atom